Computed, not measured: a relaxed Ca2MgCl crystal at the PBE level of DFT.

Unit cell a=12.892 b=3.687 c=5.847 alpha=90.00 beta=112.71 gamma=90.00
Space group Cm (No. 8)
One atom of each set of equivalent atoms:
Ca 0.000 0.000 0.000 [2 per cell]
Ca 0.217 0.000 0.671 [2 per cell]
Mg 0.278 0.500 0.234 [2 per cell]
Cl 0.046 0.500 0.678 [2 per cell]

Total moment = 0.0000 μB per atom
Fermi-level density of states = 2.8 states/eV/f.u.
Formation energy without anion corrections = -0.6483 eV/atom
Polymorph energy (0 for the lowest one) = 0.65 eV per formula unit